1.
# PBE Sc4HgPbO, optimized geometry
data_Sc4HgPbO
_cell_length_a 6.130
_cell_length_b 6.136
_cell_length_c 8.245
_cell_angle_alpha 90.00
_cell_angle_beta 111.82
_cell_angle_gamma 90.00
_space_group_name_H-M_alt 'P 1'
_space_group_IT_number 1
loop_
_space_group_symop_operation_xyz
'x,y,z'
loop_
_atom_site_label
_atom_site_fract_x
_atom_site_fract_y
_atom_site_fract_z
_atom_site_occupancy
Sc1 0.924 0.250 0.849 1
Sc2 0.409 0.750 0.817 1
Sc3 0.076 0.750 0.151 1
Sc4 0.591 0.250 0.183 1
Sc5 0.500 0.500 0.500 1
Sc6 0.000 0.000 0.500 1
Sc7 0.500 0.000 0.500 1
Sc8 0.000 0.500 0.500 1
Hg1 0.114 0.250 0.228 1
Hg2 0.886 0.750 0.772 1
Pb1 0.604 0.750 0.208 1
Pb2 0.396 0.250 0.792 1
O1 0.254 0.750 0.509 1
O2 0.746 0.250 0.491 1
# - energy relative to the elements, uncorrected (eV/atom) = -1.132
# - magnetization (μB/cell) = 0.00
# - Fermi-level density of states (states/eV/atom) = 0.351

2.
# PBE HgPbSe2O6, optimized geometry
data_HgPbSe2O6
_cell_length_a 7.370
_cell_length_b 7.370
_cell_length_c 9.110
_cell_angle_alpha 111.06
_cell_angle_beta 111.06
_cell_angle_gamma 108.79
_space_group_name_H-M_alt 'P 1'
_space_group_IT_number 1
loop_
_space_group_symop_operation_xyz
'x,y,z'
loop_
_atom_site_label
_atom_site_fract_x
_atom_site_fract_y
_atom_site_fract_z
_atom_site_occupancy
Hg1 0.191 0.809 0.250 1
Hg2 0.809 0.191 0.750 1
Pb1 0.531 0.469 0.250 1
Pb2 0.469 0.531 0.750 1
Se1 0.322 0.015 0.712 1
Se2 0.985 0.678 0.788 1
Se3 0.678 0.985 0.288 1
Se4 0.015 0.322 0.212 1
O1 0.982 0.559 0.287 1
O2 0.441 0.018 0.213 1
O3 0.018 0.441 0.713 1
O4 0.559 0.982 0.787 1
O5 0.113 0.355 0.070 1
O6 0.645 0.887 0.430 1
O7 0.887 0.645 0.930 1
O8 0.355 0.113 0.570 1
O9 0.264 0.399 0.392 1
O10 0.601 0.736 0.108 1
O11 0.736 0.601 0.608 1
O12 0.399 0.264 0.892 1
# - energy relative to the elements, uncorrected (eV/atom) = -0.818
# - magnetization (μB/cell) = 0.00
# - Fermi-level density of states (states/eV/atom) = 0.000

3.
# PBE HgPbSe2O8, optimized geometry
data_HgPbSe2O8
_cell_length_a 5.172
_cell_length_b 5.172
_cell_length_c 8.316
_cell_angle_alpha 71.88
_cell_angle_beta 71.88
_cell_angle_gamma 60.00
_space_group_name_H-M_alt 'P 1'
_space_group_IT_number 1
loop_
_space_group_symop_operation_xyz
'x,y,z'
loop_
_atom_site_label
_atom_site_fract_x
_atom_site_fract_y
_atom_site_fract_z
_atom_site_occupancy
Hg1 0.500 0.500 0.500 1
Pb1 0.000 0.000 0.000 1
Se1 0.746 0.746 0.761 1
Se2 0.254 0.254 0.239 1
O1 0.674 0.674 0.977 1
O2 0.326 0.326 0.023 1
O3 0.555 0.206 0.304 1
O4 0.794 0.445 0.696 1
O5 0.065 0.794 0.696 1
O6 0.206 0.935 0.304 1
O7 0.935 0.555 0.304 1
O8 0.445 0.065 0.696 1
# - energy relative to the elements, uncorrected (eV/atom) = -0.665
# - magnetization (μB/cell) = 0.00
# - Fermi-level density of states (states/eV/atom) = 0.000

4.
# PBE Sr2HgPbO5, optimized geometry
data_Sr2HgPbO5
_cell_length_a 3.497
_cell_length_b 7.582
_cell_length_c 11.513
_cell_angle_alpha 90.00
_cell_angle_beta 90.00
_cell_angle_gamma 103.33
_space_group_name_H-M_alt 'P 1'
_space_group_IT_number 1
loop_
_space_group_symop_operation_xyz
'x,y,z'
loop_
_atom_site_label
_atom_site_fract_x
_atom_site_fract_y
_atom_site_fract_z
_atom_site_occupancy
Sr1 0.863 0.725 0.802 1
Sr2 0.076 0.153 0.651 1
Sr3 0.137 0.275 0.302 1
Sr4 0.924 0.847 0.151 1
Hg1 0.551 0.102 0.932 1
Hg2 0.449 0.898 0.432 1
Pb1 0.769 0.537 0.535 1
Pb2 0.231 0.463 0.035 1
O1 0.376 0.752 0.997 1
O2 0.715 0.430 0.913 1
O3 0.489 0.978 0.764 1
O4 0.257 0.514 0.668 1
O5 0.917 0.835 0.561 1
O6 0.624 0.248 0.497 1
O7 0.285 0.570 0.413 1
O8 0.511 0.022 0.264 1
O9 0.743 0.486 0.168 1
O10 0.083 0.165 0.061 1
# - energy relative to the elements, uncorrected (eV/atom) = -1.599
# - magnetization (μB/cell) = 0.00

5.
# PBE Sr2HgPbO4, optimized geometry
data_Sr2HgPbO4
_cell_length_a 3.672
_cell_length_b 6.395
_cell_length_c 6.245
_cell_angle_alpha 110.78
_cell_angle_beta 90.00
_cell_angle_gamma 90.00
_space_group_name_H-M_alt 'P 1'
_space_group_IT_number 1
loop_
_space_group_symop_operation_xyz
'x,y,z'
loop_
_atom_site_label
_atom_site_fract_x
_atom_site_fract_y
_atom_site_fract_z
_atom_site_occupancy
Sr1 0.500 0.000 0.500 1
Sr2 0.000 0.500 0.500 1
Hg1 0.000 0.000 0.000 1
Pb1 0.500 0.500 0.000 1
O1 0.500 0.246 0.250 1
O2 0.500 0.754 0.750 1
O3 0.000 0.249 0.735 1
O4 0.000 0.751 0.265 1
# - energy relative to the elements, uncorrected (eV/atom) = -1.659
# - magnetization (μB/cell) = 0.00

6.
# PBE TcHgPbO4, optimized geometry
data_TcHgPbO4
_cell_length_a 6.883
_cell_length_b 6.883
_cell_length_c 7.246
_cell_angle_alpha 79.02
_cell_angle_beta 79.02
_cell_angle_gamma 64.97
_space_group_name_H-M_alt 'P 1'
_space_group_IT_number 1
loop_
_space_group_symop_operation_xyz
'x,y,z'
loop_
_atom_site_label
_atom_site_fract_x
_atom_site_fract_y
_atom_site_fract_z
_atom_site_occupancy
Tc1 0.636 0.636 0.725 1
Tc2 0.364 0.364 0.275 1
Hg1 0.021 0.021 0.267 1
Hg2 0.979 0.979 0.733 1
Pb1 0.268 0.268 0.852 1
Pb2 0.732 0.732 0.148 1
O1 0.275 0.275 0.509 1
O2 0.725 0.725 0.491 1
O3 0.139 0.508 0.139 1
O4 0.519 0.519 0.263 1
O5 0.492 0.861 0.861 1
O6 0.508 0.139 0.139 1
O7 0.481 0.481 0.737 1
O8 0.861 0.492 0.861 1
# - energy relative to the elements, uncorrected (eV/atom) = -1.080
# - magnetization (μB/cell) = 2.05
# - Fermi-level density of states (states/eV/atom) = 0.460

7.
# PBE TcHg2Pb2O6, optimized geometry
data_TcHg2Pb2O6
_cell_length_a 6.122
_cell_length_b 6.122
_cell_length_c 6.500
_cell_angle_alpha 93.75
_cell_angle_beta 93.75
_cell_angle_gamma 121.45
_space_group_name_H-M_alt 'P 1'
_space_group_IT_number 1
loop_
_space_group_symop_operation_xyz
'x,y,z'
loop_
_atom_site_label
_atom_site_fract_x
_atom_site_fract_y
_atom_site_fract_z
_atom_site_occupancy
Tc1 0.000 0.000 0.500 1
Hg1 0.851 0.149 0.000 1
Hg2 0.149 0.851 0.000 1
Pb1 0.338 0.662 0.500 1
Pb2 0.662 0.338 0.500 1
O1 0.751 0.751 0.670 1
O2 0.023 0.283 0.672 1
O3 0.249 0.249 0.330 1
O4 0.283 0.023 0.672 1
O5 0.977 0.717 0.328 1
O6 0.717 0.977 0.328 1
# - energy relative to the elements, uncorrected (eV/atom) = -0.853
# - magnetization (μB/cell) = 0.00
# - Fermi-level density of states (states/eV/atom) = 0.149

8.
# PBE Hg2TePbO6, optimized geometry
data_Hg2TePbO6
_cell_length_a 5.832
_cell_length_b 5.832
_cell_length_c 6.255
_cell_angle_alpha 62.21
_cell_angle_beta 62.21
_cell_angle_gamma 60.00
_space_group_name_H-M_alt 'P 1'
_space_group_IT_number 1
loop_
_space_group_symop_operation_xyz
'x,y,z'
loop_
_atom_site_label
_atom_site_fract_x
_atom_site_fract_y
_atom_site_fract_z
_atom_site_occupancy
Hg1 0.586 0.586 0.242 1
Hg2 0.046 0.046 0.861 1
Te1 0.316 0.316 0.051 1
Pb1 0.816 0.816 0.552 1
O1 0.534 0.220 0.266 1
O2 0.221 0.980 0.266 1
O3 0.980 0.533 0.267 1
O4 0.412 0.653 0.837 1
O5 0.652 0.099 0.836 1
O6 0.098 0.412 0.837 1
# - energy relative to the elements, uncorrected (eV/atom) = -0.746
# - magnetization (μB/cell) = 0.00

> Look up the magnetization of the first one.

0.00 μB/cell